# 1
# PBE K2Fe, relaxed
data_K2Fe
_symmetry_space_group_name_H-M 'P 1'
_symmetry_Int_Tables_number 1
_symmetry_space_group_name_Hall 'P 1'
_cell_length_a 6.958
_cell_length_b 6.958
_cell_length_c 6.958
_cell_angle_alpha 60.00
_cell_angle_beta 60.00
_cell_angle_gamma 60.00
loop_
_atom_site_label
_atom_site_fract_x
_atom_site_fract_y
_atom_site_fract_z
_atom_site_occupancy
K1 0.625 0.625 0.625 1
K2 0.625 0.125 0.625 1
K3 0.625 0.625 0.125 1
K4 0.125 0.625 0.625 1
Fe1 0.000 0.000 0.000 1
Fe2 0.250 0.250 0.250 1
# Magnetic moment, μB/cell: 6.3
# DFT total energy, eV per cell: -12.87



# 2
# PBE KFe, relaxed
data_KFe
_symmetry_space_group_name_H-M 'P 1'
_symmetry_Int_Tables_number 1
_symmetry_space_group_name_Hall 'P 1'
_cell_length_a 5.387
_cell_length_b 5.387
_cell_length_c 8.700
_cell_angle_alpha 90.00
_cell_angle_beta 90.00
_cell_angle_gamma 120.00
loop_
_atom_site_label
_atom_site_fract_x
_atom_site_fract_y
_atom_site_fract_z
_atom_site_occupancy
K1 0.333 0.667 0.876 1
Fe1 0.333 0.667 0.500 1
Fe2 0.000 0.000 0.000 1
K2 0.000 0.000 0.375 1
# Magnetic moment, μB/cell: 6.0
# DFT total energy, eV per cell: -11.02



Please write out number 1 again, unchanged.
# PBE K2Fe, relaxed
data_K2Fe
_symmetry_space_group_name_H-M 'P 1'
_symmetry_Int_Tables_number 1
_symmetry_space_group_name_Hall 'P 1'
_cell_length_a 6.958
_cell_length_b 6.958
_cell_length_c 6.958
_cell_angle_alpha 60.00
_cell_angle_beta 60.00
_cell_angle_gamma 60.00
loop_
_atom_site_label
_atom_site_fract_x
_atom_site_fract_y
_atom_site_fract_z
_atom_site_occupancy
K1 0.625 0.625 0.625 1
K2 0.625 0.125 0.625 1
K3 0.625 0.625 0.125 1
K4 0.125 0.625 0.625 1
Fe1 0.000 0.000 0.000 1
Fe2 0.250 0.250 0.250 1
# Magnetic moment, μB/cell: 6.3
# DFT total energy, eV per cell: -12.87